Below is an optimized crystal structure of PuInSb2, with properties calculated at the GGA-PBE level.

Values from the calculation:
SG   R3m (160)
Excess energy over the best structure of this formula in the dataset   197 meV per atom
Energy relative to the elements, uncorrected   -0.1784 eV per atom

Unit cell a=4.6266 b=4.6266 c=19.8006 alpha=90.00 beta=90.00 gamma=120.00
Closest atoms and distances in Å follow each position.
Atoms (fractional coordinates):
Pu: 0.0000 0.0000 0.0000  6 Sb 3.08-3.11, 1 In 3.38
Pu: 0.3333 0.6667 0.6667  6 Sb 3.08-3.11, 1 In 3.38
Pu: 0.6667 0.3333 0.3333  6 Sb 3.08-3.11, 1 In 3.38
In: 0.0000 0.0000 0.8292  6 Sb 3.12-3.25, 1 Pu 3.38
In: 0.3333 0.6667 0.4959  6 Sb 3.12-3.25, 1 Pu 3.38
In: 0.6667 0.3333 0.1625  6 Sb 3.12-3.25, 1 Pu 3.38
Sb: 0.0000 0.0000 0.4140  3 Pu 3.11, 3 In 3.12, 1 Sb 3.47
Sb: 0.0000 0.0000 0.5891  3 Pu 3.08, 3 In 3.25
Sb: 0.3333 0.6667 0.0807  3 Pu 3.11, 3 In 3.12, 1 Sb 3.47
Sb: 0.3333 0.6667 0.2558  3 Pu 3.08, 3 In 3.25
Sb: 0.6667 0.3333 0.7474  3 Pu 3.11, 3 In 3.12, 1 Sb 3.47
Sb: 0.6667 0.3333 0.9224  3 Pu 3.08, 3 In 3.25

***

Below is an optimized crystal structure of CeNd2TcN4, with properties calculated at the GGA-PBE level.

Values from the calculation:
SG   Cmcm (63)
Energy relative to the elements, uncorrected   -0.9222 eV per atom

Unit cell a=6.2117 b=6.2117 c=12.1237 alpha=90.00 beta=90.00 gamma=147.23
Closest atoms and distances in Å follow each position.
Atoms (fractional coordinates):
Ce: 0.1204 0.8796 0.7500  6 N 2.55-2.82
Ce: 0.8796 0.1204 0.2500  6 N 2.55-2.82
Nd: 0.3678 0.6322 0.5427  6 N 2.41-2.69
Nd: 0.3678 0.6322 0.9573  6 N 2.41-2.69
Nd: 0.6322 0.3678 0.0427  6 N 2.41-2.69
Nd: 0.6322 0.3678 0.4573  6 N 2.41-2.69
Tc: 0.1457 0.8543 0.2500  4 N 2.00-2.03
Tc: 0.8543 0.1457 0.7500  4 N 2.00-2.03
N: 0.0000 0.0000 0.0000  4 Nd 2.41
N: 0.0000 0.0000 0.5000  4 Nd 2.41
N: 0.2729 0.7271 0.1384  1 Tc 2.03
N: 0.2729 0.7271 0.3616  1 Tc 2.03
N: 0.4352 0.5648 0.7500  2 Tc 2.00
N: 0.5648 0.4352 0.2500  2 Tc 2.00
N: 0.7271 0.2729 0.6384  1 Tc 2.03
N: 0.7271 0.2729 0.8616  1 Tc 2.03

***

Below is an optimized crystal structure of CdCuSb2Te, with properties calculated at the GGA-PBE level.

Values from the calculation:
SG   P4/mmm (123)
Excess energy over the best structure of this formula in the dataset   0 meV per atom
Energy relative to the elements, uncorrected   0.4200 eV per atom

Unit cell a=5.0980 b=5.0980 c=5.3267 alpha=90.00 beta=90.00 gamma=90.00
Closest atoms and distances in Å follow each position.
Atoms (fractional coordinates):
Cd: 0.0000 0.0000 0.0000  4 Te 3.60, 8 Sb 3.69
Cu: 0.5000 0.5000 0.5000  4 Sb 2.55, 2 Te 2.66
Sb: 0.0000 0.5000 0.5000  2 Cu 2.55
Sb: 0.5000 0.0000 0.5000  2 Cu 2.55
Te: 0.5000 0.5000 0.0000  2 Cu 2.66

***

Below is an optimized crystal structure of TeIrW, with properties calculated at the GGA-PBE level.

Values from the calculation:
SG   Imm2 (44)
Excess energy over the best structure of this formula in the dataset   0 meV per atom
Energy relative to the elements, uncorrected   0.4363 eV per atom

Unit cell a=3.0082 b=3.1650 c=11.6221 alpha=90.00 beta=90.00 gamma=90.00
Closest atoms and distances in Å follow each position.
Atoms (fractional coordinates):
Te: 0.0000 0.0000 0.0000  4 W 2.95, 4 Te 3.01-3.17, 4 Ir 3.17
Te: 0.5000 0.5000 0.5000  4 W 2.95, 4 Te 3.01-3.17, 4 Ir 3.17
Ir: 0.0000 0.0000 0.3022  4 W 2.67
Ir: 0.5000 0.5000 0.8022  4 W 2.67
W: 0.0000 0.0000 0.6703  4 Ir 2.67, 4 Te 2.95
W: 0.5000 0.5000 0.1703  4 Ir 2.67, 4 Te 2.95

***

Below is an optimized crystal structure of ScSe2BrCl, with properties calculated at the GGA-PBE level.

Values from the calculation:
SG   P4/mmm (123)
Excess energy over the best structure of this formula in the dataset   0 meV per atom
Energy relative to the elements, uncorrected   -0.4469 eV per atom

Unit cell a=5.2908 b=5.2908 c=5.1749 alpha=90.00 beta=90.00 gamma=90.00
Closest atoms and distances in Å follow each position.
Atoms (fractional coordinates):
Sc: 0.0000 0.0000 0.0000  2 Br 2.59, 4 Se 2.65
Se: 0.0000 0.5000 0.0000  2 Sc 2.65
Se: 0.5000 0.0000 0.0000  2 Sc 2.65
Br: 0.0000 0.0000 0.5000  2 Sc 2.59
Cl: 0.5000 0.5000 0.5000  8 Se 3.70, 4 Br 3.74

***

Below is an optimized crystal structure of BaPuTl2F8, with properties calculated at the GGA-PBE level.

Values from the calculation:
SG   P2/m (10)
Energy relative to the elements, uncorrected   -3.0194 eV per atom

Unit cell a=4.2096 b=8.4580 c=6.6830 alpha=90.00 beta=92.80 gamma=90.00
Closest atoms and distances in Å follow each position.
Atoms (fractional coordinates):
Ba: 0.0000 0.0000 0.0000  8 F 2.63-2.82
Pu: 0.0000 0.5000 0.0000  6 F 2.21-2.24
Tl: 0.5000 0.2469 0.5000  8 F 2.71-3.02
Tl: 0.5000 0.7531 0.5000  8 F 2.71-3.02
F: 0.0340 0.2929 0.8011  1 Pu 2.21
F: 0.0340 0.7071 0.8011  1 Pu 2.21
F: 0.4618 0.5000 0.1820  1 Pu 2.24, 1 F 2.47
F: 0.4886 0.0000 0.7586  2 Ba 2.63-2.68, 2 Tl 2.71
F: 0.5114 0.0000 0.2414  2 Ba 2.63-2.68, 2 Tl 2.71
F: 0.5382 0.5000 0.8180  1 Pu 2.24, 1 F 2.47
F: 0.9660 0.2929 0.1989  1 Pu 2.21
F: 0.9660 0.7071 0.1989  1 Pu 2.21

***

Below is an optimized crystal structure of TeIrSe, with properties calculated at the GGA-PBE level.

Values from the calculation:
SG   P2/m (10)
Excess energy over the best structure of this formula in the dataset   508 meV per atom
Energy relative to the elements, uncorrected   0.2710 eV per atom

Unit cell a=3.4764 b=3.5830 c=5.5522 alpha=90.00 beta=90.16 gamma=90.00
Closest atoms and distances in Å follow each position.
Atoms (fractional coordinates):
Te: 0.0000 0.0000 0.0000  2 Ir 2.78
Ir: 0.0000 0.0000 0.5000  4 Se 2.50, 2 Te 2.78
Se: 0.5000 0.5000 0.5000  4 Ir 2.50

***

Below is an optimized crystal structure of Zr2TlHg2, with properties calculated at the GGA-PBE level.

Values from the calculation:
SG   P4/mbm (127)
Excess energy over the best structure of this formula in the dataset   47 meV per atom
DFT formation energy   0.9 kcal/mol of atoms

Unit cell a=8.1505 b=8.1505 c=3.4915 alpha=90.00 beta=90.00 gamma=90.00
Closest atoms and distances in Å follow each position.
Atoms (fractional coordinates):
Zr: 0.1730 0.3270 0.0000  6 Hg 2.90-3.02
Zr: 0.3270 0.8270 0.0000  6 Hg 2.90-3.02
Zr: 0.6730 0.1730 0.0000  6 Hg 2.90-3.02
Zr: 0.8270 0.6730 0.0000  6 Hg 2.90-3.02
Tl: 0.0000 0.0000 0.5000  4 Hg 3.22, 8 Zr 3.48, 2 Tl 3.49
Tl: 0.5000 0.5000 0.5000  4 Hg 3.22, 8 Zr 3.48, 2 Tl 3.49
Hg: 0.1257 0.6257 0.5000  1 Hg 2.90, 6 Zr 2.90-3.02, 2 Tl 3.22
Hg: 0.3743 0.1257 0.5000  1 Hg 2.90, 6 Zr 2.90-3.02, 2 Tl 3.22
Hg: 0.6257 0.8743 0.5000  1 Hg 2.90, 6 Zr 2.90-3.02, 2 Tl 3.22
Hg: 0.8743 0.3743 0.5000  1 Hg 2.90, 6 Zr 2.90-3.02, 2 Tl 3.22

***

| no. | E (Ha/atom) | mass density (Mg/m³) |
| --- | --- | --- |
| 1 | -0.239 | 8.2 |
| 2 | -0.306 | 7.6 |
| 3 | -0.105 | 6.6 |
| 4 | -0.290 | 15.1 |
| 5 | -0.140 | 3.6 |
| 6 | -0.221 | 6.6 |
| 7 | -0.180 | 9.6 |
| 8 | -0.146 | 11.3 |